a) VASP calculation (PBE-GGA) on TlInSb2 after structural relaxation.

abc: 6.7038 6.7038 8.2075
angles: 65.90 65.90 90.00
Last column: nearest neighbours and their distance in Å.
Fractional coordinates of all 8 atoms:
1 Sb 0.6178 0.1250 0.2500  2 In 2.87, 2 Tl 2.93
2 Sb 0.8750 0.8678 0.7500  2 In 2.87, 2 Tl 2.93
3 Sb 0.1322 0.6250 0.2500  2 In 2.87, 2 Tl 2.93
4 Sb 0.3750 0.3822 0.7500  2 In 2.87, 2 Tl 2.93
5 In 0.2500 0.7500 0.5000  4 Sb 2.87
6 In 0.5000 0.5000 0.0000  4 Sb 2.87
7 Tl 0.7500 0.2500 0.5000  4 Sb 2.93
8 Tl 0.0000 0.0000 0.0000  4 Sb 2.93

Calculated values
- Symmetry: No. 122
- ρ: 6.2 Mg/m³
- V: 37.6 Å³ per atom
- Density of states at the Fermi level: 0.01 states/eV per cell

b) VASP calculation (PBE-GGA) on TlInSb2 after structural relaxation.

abc: 5.9989 5.9989 6.5783
angles: 88.62 88.62 30.95
Last column: nearest neighbours and their distance in Å.
Fractional coordinates of all 4 atoms:
1 In 0.7494 0.7494 0.7693  2 In 3.20, 5 Sb 3.32-3.55, 1 Tl 3.40
2 Tl 0.5022 0.5022 0.5007  2 Tl 3.20, 1 In 3.40, 2 Sb 3.55
3 Sb 0.0112 0.0112 0.0191  3 Sb 2.93-3.20
4 Sb 0.2372 0.2372 0.2109  3 Sb 2.93-3.20

Calculated values
- Symmetry: No. 8
- ρ: 7.7 Mg/m³
- V: 30.4 Å³ per atom
- Density of states at the Fermi level: 1.50 states/eV per cell

Stability ranking, top entry: a); the second entry is 76 meV/atom less favorable.

a) VASP calculation (PBE-GGA) on Tl8InSb2 after structural relaxation.

abc: 6.8074 9.1302 9.1302
angles: 43.46 67.40 67.40
Last column: nearest neighbours and their distance in Å.
Fractional coordinates of all 11 atoms:
1 Tl 0.1335 0.7689 0.7689  1 Sb 3.22, 4 Tl 3.40-3.43
2 Tl 0.8665 0.2311 0.2311  1 Sb 3.22, 4 Tl 3.40-3.43
3 Tl 0.2577 0.8084 0.3407  1 In 3.12, 1 Sb 3.13, 4 Tl 3.16-3.43
4 Tl 0.7423 0.6593 0.1916  1 In 3.12, 1 Sb 3.13, 4 Tl 3.16-3.43
5 Tl 0.2577 0.3407 0.8084  1 In 3.12, 1 Sb 3.13, 4 Tl 3.16-3.43
6 Tl 0.7423 0.1916 0.6593  1 In 3.12, 1 Sb 3.13, 4 Tl 3.16-3.43
7 Tl 0.2797 0.3669 0.3669  3 Sb 3.34-3.63, 3 Tl 3.69-3.72
8 Tl 0.7203 0.6331 0.6331  3 Sb 3.34-3.63, 3 Tl 3.69-3.72
9 Sb 0.4864 0.8492 0.8492  4 Tl 3.13-3.34, 1 In 3.24
10 Sb 0.5136 0.1508 0.1508  4 Tl 3.13-3.34, 1 In 3.24
11 In 0.0000 0.0000 0.0000  4 Tl 3.12, 2 Sb 3.24

Calculated values
- Symmetry: No. 12
- ρ: 9.3 Mg/m³
- V: 32.3 Å³ per atom
- Density of states at the Fermi level: 4.99 states/eV per cell

b) VASP calculation (PBE-GGA) on Tl8InSb2 after structural relaxation.

abc: 4.9664 7.8991 13.8633
angles: 139.64 100.32 90.00
Last column: nearest neighbours and their distance in Å.
Fractional coordinates of all 11 atoms:
1 Tl 0.3206 0.7253 0.6413  8 Tl 3.44-3.63, 3 Sb 3.49-3.66, 1 In 3.49
2 Tl 0.7724 0.9093 0.5448  9 Tl 3.44-3.70, 3 Sb 3.48-3.51
3 Tl 0.4102 0.3813 0.8203  1 In 3.37, 9 Tl 3.44-3.73, 2 Sb 3.46
4 Tl 0.6794 0.2747 0.3587  8 Tl 3.44-3.63, 3 Sb 3.49-3.66, 1 In 3.49
5 Tl 0.9588 0.1751 0.9176  2 Sb 3.38-3.40, 2 In 3.43, 8 Tl 3.44-3.73
6 Tl 0.5898 0.6187 0.1797  1 In 3.37, 9 Tl 3.44-3.73, 2 Sb 3.46
7 Tl 0.0412 0.8249 0.0824  2 Sb 3.38-3.40, 2 In 3.43, 8 Tl 3.44-3.73
8 Tl 0.2276 0.0907 0.4552  9 Tl 3.44-3.70, 3 Sb 3.48-3.51
9 Sb 0.1347 0.4506 0.2694  10 Tl 3.38-3.66, 2 In 3.48
10 Sb 0.8653 0.5494 0.7306  10 Tl 3.38-3.66, 2 In 3.48
11 In 0.5000 0.0000 0.0000  8 Tl 3.37-3.49, 4 Sb 3.48

Calculated values
- Symmetry: No. 12
- ρ: 9.8 Mg/m³
- V: 30.8 Å³ per atom
- Density of states at the Fermi level: 4.30 states/eV per cell

Stability ranking, top entry: b); the second entry is 61 meV/atom less favorable.

a) VASP calculation (PBE-GGA) on TlInSb after structural relaxation.

abc: 6.4109 3.2841 11.5634
angles: 80.14 48.95 90.68
Last column: nearest neighbours and their distance in Å.
Fractional coordinates of all 6 atoms:
1 Sb 0.4641 0.1422 0.6698  4 Sb 3.13-3.29, 2 In 3.24-3.27, 1 Tl 3.43
2 Sb 0.9902 0.1441 0.6585  4 Sb 3.13-3.29, 2 In 3.24-3.26, 1 Tl 3.44
3 In 0.6354 0.3166 0.3279  2 Sb 3.24-3.27, 4 In 3.28-3.57, 4 Tl 3.53-3.61
4 In 0.8182 0.9629 0.0005  2 Sb 3.24-3.26, 4 In 3.28-3.57, 4 Tl 3.53-3.62
5 Tl 0.3488 0.4814 0.9778  2 Tl 3.28, 4 Sb 3.43-3.65, 5 In 3.53-3.64
6 Tl 0.1048 0.8051 0.3506  2 Tl 3.28, 4 Sb 3.44-3.65, 5 In 3.53-3.65

Calculated values
- Symmetry: No. 1
- ρ: 8.2 Mg/m³
- V: 29.7 Å³ per atom
- Density of states at the Fermi level: 3.29 states/eV per cell

b) VASP calculation (PBE-GGA) on TlInSb after structural relaxation.

abc: 5.4749 5.4749 3.3757
angles: 90.00 90.00 120.00
Last column: nearest neighbours and their distance in Å.
Fractional coordinates of all 3 atoms:
1 In 0.0000 0.0000 0.1566  3 Sb 3.16, 2 In 3.38
2 Sb 0.6667 0.3333 0.1760  3 In 3.16, 2 Sb 3.38
3 Tl 0.3333 0.6667 0.6673  2 Tl 3.38, 6 In 3.57-3.60, 6 Sb 3.57-3.60

Calculated values
- Symmetry: No. 156
- ρ: 8.4 Mg/m³
- V: 29.2 Å³ per atom
- Density of states at the Fermi level: 1.89 states/eV per cell

Stability ranking, top entry: b); the second entry is 8 meV/atom less favorable.

a) VASP calculation (PBE-GGA) on Tl2In2Sb after structural relaxation.

abc: 4.1978 4.1978 9.3404
angles: 77.01 77.01 90.00
Last column: nearest neighbours and their distance in Å.
Fractional coordinates of all 5 atoms:
1 Tl 0.4076 0.4076 0.1848  1 Tl 3.27, 4 Sb 3.39, 4 In 3.49
2 Tl 0.5924 0.5924 0.8152  1 Tl 3.27, 4 Sb 3.39, 4 In 3.49
3 In 0.2500 0.7500 0.5000  4 In 2.97
4 In 0.7500 0.2500 0.5000  4 In 2.97
5 Sb 0.0000 0.0000 0.0000  8 Tl 3.39

Calculated values
- Symmetry: No. 139
- ρ: 8.1 Mg/m³
- V: 31.2 Å³ per atom
- Density of states at the Fermi level: 2.48 states/eV per cell

b) VASP calculation (PBE-GGA) on Tl2In2Sb after structural relaxation.

abc: 7.8805 7.8805 5.0098
angles: 90.00 90.00 90.00
Last column: nearest neighbours and their distance in Å.
Fractional coordinates of all 10 atoms:
1 In 0.1361 0.3639 0.0000  1 In 3.03, 2 Sb 3.06, 2 Tl 3.29
2 In 0.8639 0.6361 0.0000  1 In 3.03, 2 Sb 3.06, 2 Tl 3.29
3 In 0.3639 0.8639 0.0000  1 In 3.03, 2 Sb 3.06, 2 Tl 3.29
4 In 0.6361 0.1361 0.0000  1 In 3.03, 2 Sb 3.06, 2 Tl 3.29
5 Sb 0.5000 0.5000 0.0000  4 In 3.06
6 Sb 0.0000 0.0000 0.0000  4 In 3.06
7 Tl 0.1721 0.6721 0.5000  6 In 3.29-3.50
8 Tl 0.3279 0.1721 0.5000  6 In 3.29-3.50
9 Tl 0.6721 0.8279 0.5000  6 In 3.29-3.50
10 Tl 0.8279 0.3279 0.5000  6 In 3.29-3.50

Calculated values
- Symmetry: No. 127
- ρ: 8.1 Mg/m³
- V: 31.1 Å³ per atom
- Density of states at the Fermi level: 5.34 states/eV per cell

c) VASP calculation (PBE-GGA) on Tl2In2Sb after structural relaxation.

abc: 4.3120 4.3120 8.9491
angles: 76.06 76.06 90.00
Last column: nearest neighbours and their distance in Å.
Fractional coordinates of all 5 atoms:
1 Sb 0.0000 0.0000 0.0000  8 In 3.40
2 In 0.5898 0.5898 0.8205  1 In 3.02
3 In 0.4102 0.4102 0.1795  1 In 3.02
4 Tl 0.7500 0.2500 0.5000  4 Tl 3.05
5 Tl 0.2500 0.7500 0.5000  4 Tl 3.05

Calculated values
- Symmetry: No. 139
- ρ: 8.1 Mg/m³
- V: 31.3 Å³ per atom
- Density of states at the Fermi level: 2.04 states/eV per cell

Stability ranking, top entry: b); the second entry is 108 meV/atom less favorable.

a) VASP calculation (PBE-GGA) on TlIn2Sb2 after structural relaxation.

abc: 9.0856 9.0856 3.5823
angles: 90.00 90.00 90.00
Last column: nearest neighbours and their distance in Å.
Fractional coordinates of all 10 atoms:
1 Tl 0.0000 0.0000 0.0000  4 Sb 3.44, 2 Tl 3.58
2 Tl 0.5000 0.5000 0.0000  4 Sb 3.44, 2 Tl 3.58
3 Sb 0.6532 0.1532 0.0000  6 In 3.16-3.24, 2 Tl 3.44
4 Sb 0.3468 0.8468 0.0000  6 In 3.16-3.24, 2 Tl 3.44
5 Sb 0.1532 0.3468 0.0000  6 In 3.16-3.24, 2 Tl 3.44
6 Sb 0.8468 0.6532 0.0000  6 In 3.16-3.24, 2 Tl 3.44
7 In 0.6443 0.8557 0.5000  6 Sb 3.16-3.24
8 In 0.1443 0.6443 0.5000  6 Sb 3.16-3.24
9 In 0.3557 0.1443 0.5000  6 Sb 3.16-3.24
10 In 0.8557 0.3557 0.5000  6 Sb 3.16-3.24

Calculated values
- Symmetry: No. 127
- ρ: 7.6 Mg/m³
- V: 29.6 Å³ per atom
- Density of states at the Fermi level: 5.49 states/eV per cell

b) VASP calculation (PBE-GGA) on TlIn2Sb2 after structural relaxation.

abc: 4.7886 4.7886 7.9031
angles: 72.36 72.36 90.00
Last column: nearest neighbours and their distance in Å.
Fractional coordinates of all 5 atoms:
1 Sb 0.3827 0.3827 0.2345  4 In 3.05, 1 Sb 3.35
2 Sb 0.6173 0.6173 0.7655  4 In 3.05, 1 Sb 3.35
3 In 0.7500 0.2500 0.5000  4 Sb 3.05, 4 In 3.39
4 In 0.2500 0.7500 0.5000  4 Sb 3.05, 4 In 3.39
5 Tl 0.0000 0.0000 0.0000  8 Sb 3.78

Calculated values
- Symmetry: No. 139
- ρ: 6.9 Mg/m³
- V: 32.8 Å³ per atom
- Density of states at the Fermi level: 2.21 states/eV per cell

Stability ranking, top entry: b); the second entry is 32 meV/atom less favorable.

a) VASP calculation (PBE-GGA) on Tl3InSb after structural relaxation.

abc: 5.6997 5.6997 5.6997
angles: 90.00 90.00 90.00
Last column: nearest neighbours and their distance in Å.
Fractional coordinates of all 5 atoms:
1 In 0.0000 0.0000 0.0000  6 Tl 2.85
2 Sb 0.5000 0.5000 0.5000  12 Tl 4.03
3 Tl 0.0000 0.5000 0.0000  2 In 2.85
4 Tl 0.5000 0.0000 0.0000  2 In 2.85
5 Tl 0.0000 0.0000 0.5000  2 In 2.85

Calculated values
- Symmetry: No. 221
- ρ: 7.6 Mg/m³
- V: 37.0 Å³ per atom
- Density of states at the Fermi level: 3.82 states/eV per cell

b) VASP calculation (PBE-GGA) on Tl3InSb after structural relaxation.

abc: 5.8710 6.5754 9.1798
angles: 69.01 90.00 90.00
Last column: nearest neighbours and their distance in Å.
Fractional coordinates of all 10 atoms:
1 In 0.2500 0.5493 0.9015  2 In 3.39, 4 Tl 3.70
2 In 0.7500 0.4507 0.0985  2 In 3.39, 4 Tl 3.70
3 Tl 0.7500 0.9102 0.6704  3 Sb 3.20-3.38, 2 Tl 3.23-3.35
4 Tl 0.2500 0.5806 0.3296  3 Sb 3.20-3.38, 2 Tl 3.23-3.35
5 Tl 0.0000 0.0000 0.0000  2 Tl 2.94
6 Tl 0.7500 0.4194 0.6704  3 Sb 3.20-3.38, 2 Tl 3.23-3.35
7 Tl 0.2500 0.0898 0.3296  3 Sb 3.20-3.38, 2 Tl 3.23-3.35
8 Tl 0.5000 0.0000 0.0000  2 Tl 2.94
9 Sb 0.7500 0.8263 0.3473  8 Tl 3.20-3.38
10 Sb 0.2500 0.1737 0.6527  8 Tl 3.20-3.38

Calculated values
- Symmetry: No. 63
- ρ: 8.5 Mg/m³
- V: 33.1 Å³ per atom
- Density of states at the Fermi level: 5.91 states/eV per cell

Stability ranking, top entry: b); the second entry is 296 meV/atom less favorable.